1.
Here is a geometry-optimized TbHo4Tm5 structure from the Alexandria database. Energies are from PBE-GGA.

Structure (CIF):
```
data_TbHo4Tm5
_symmetry_space_group_name_H-M 'P 1'
_symmetry_Int_Tables_number 1
_cell_length_a 5.356
_cell_length_b 6.944
_cell_length_c 8.648
_cell_angle_alpha 89.98
_cell_angle_beta 72.01
_cell_angle_gamma 90.00
loop_
_symmetry_equiv_pos_as_xyz
'x,y,z'
loop_
_atom_site_label
_atom_site_type_symbol
_atom_site_fract_x
_atom_site_fract_y
_atom_site_fract_z
Tb1 Tb 0.000 0.000 0.000
Ho1 Ho 0.200 0.999 0.600
Ho2 Ho 0.390 0.748 0.219
Ho3 Ho 0.610 0.748 0.781
Ho4 Ho 0.801 0.498 0.399
Tm1 Tm 0.000 0.498 0.000
Tm2 Tm 0.199 0.498 0.602
Tm3 Tm 0.390 0.249 0.220
Tm4 Tm 0.610 0.250 0.780
Tm5 Tm 0.800 0.000 0.399
```

---

2.
Here is a geometry-optimized TbHo5Tm5 structure from the Alexandria database. Energies are from PBE-GGA.

Structure (CIF):
```
data_TbHo5Tm5
_symmetry_space_group_name_H-M 'C 1 2/m 1'
_symmetry_Int_Tables_number 12
_cell_length_a 18.648
_cell_length_b 5.825
_cell_length_c 6.854
_cell_angle_alpha 90.00
_cell_angle_beta 111.32
_cell_angle_gamma 90.00
loop_
_symmetry_equiv_pos_as_xyz
'x,y,z'
'-x,-y,-z'
'-x,y,-z'
'x,-y,z'
'x+1/2,y+1/2,z'
'-x+1/2,-y+1/2,-z'
'-x+1/2,y+1/2,-z'
'x+1/2,-y+1/2,z'
loop_
_atom_site_label
_atom_site_type_symbol
_atom_site_fract_x
_atom_site_fract_y
_atom_site_fract_z
Tb1 Tb 0.000 0.000 0.000
Ho1 Ho 0.000 0.500 0.000
Ho2 Ho 0.179 0.000 0.425
Ho3 Ho 0.179 0.000 0.934
Tm1 Tm 0.000 0.000 0.500
Tm2 Tm 0.124 0.500 0.625
Tm3 Tm 0.169 0.500 0.170
```

---

3.
Here is a geometry-optimized Tb8HoTm3 structure from the Alexandria database. Energies are from PBE-GGA.

Structure (CIF):
```
data_Tb8HoTm3
_symmetry_space_group_name_H-M 'I 4/m m m'
_symmetry_Int_Tables_number 139
_symmetry_space_group_name_Hall '-I 4 2'
_cell_length_a 7.633
_cell_length_b 7.633
_cell_length_c 15.261
_cell_angle_alpha 90.00
_cell_angle_beta 90.00
_cell_angle_gamma 90.00
loop_
_atom_site_label
_atom_site_type_symbol
_atom_site_fract_x
_atom_site_fract_y
_atom_site_fract_z
Tb1 Tb 0.250 0.250 0.125
Ho1 Ho 0.000 0.000 0.000
Tm1 Tm 0.000 0.000 0.500
Tm2 Tm 0.000 0.500 0.250
```

---

4.
Here is a geometry-optimized Tb4HoTm10 structure from the Alexandria database. Energies are from PBE-GGA.

Structure (CIF):
```
data_Tb4HoTm10
_symmetry_space_group_name_H-M 'I 4/m'
_symmetry_Int_Tables_number 87
_symmetry_space_group_name_Hall '-I 4'
_cell_length_a 12.019
_cell_length_b 12.019
_cell_length_c 7.587
_cell_angle_alpha 90.00
_cell_angle_beta 90.00
_cell_angle_gamma 90.00
loop_
_atom_site_label
_atom_site_type_symbol
_atom_site_fract_x
_atom_site_fract_y
_atom_site_fract_z
Tb1 Tb 0.101 0.299 0.000
Ho1 Ho 0.000 0.000 0.500
Tm1 Tm 0.000 0.500 0.250
Tm2 Tm 0.099 0.800 0.251
```

---

5.
Here is a geometry-optimized Tb2Ho6Tm3 structure from the Alexandria database. Energies are from PBE-GGA.

Structure (CIF):
```
data_Tb2Ho6Tm3
_symmetry_space_group_name_H-M 'R -3 m'
_symmetry_Int_Tables_number 166
_symmetry_space_group_name_Hall '-R 3 2"'
_cell_length_a 3.5161
_cell_length_b 3.5161
_cell_length_c 94.4379
_cell_angle_alpha 90.00
_cell_angle_beta 90.00
_cell_angle_gamma 120.00
loop_
_atom_site_label
_atom_site_type_symbol
_atom_site_fract_x
_atom_site_fract_y
_atom_site_fract_z
Tb1 Tb 0.0000 0.0000 0.0457
Ho1 Ho 0.0000 0.0000 0.1365
Ho2 Ho 0.0000 0.0000 0.3182
Ho3 Ho 0.0000 0.0000 0.4097
Tm1 Tm 0.0000 0.0000 0.2269
Tm2 Tm 0.0000 0.0000 0.5000
```

---

6.
Here is a geometry-optimized Tb12HoTm6 structure from the Alexandria database. Energies are from PBE-GGA.

Structure (CIF):
```
data_Tb12HoTm6
_symmetry_space_group_name_H-M 'R -3'
_symmetry_Int_Tables_number 148
_symmetry_space_group_name_Hall '-R 3'
_cell_length_a 14.4921
_cell_length_b 14.4921
_cell_length_c 10.2942
_cell_angle_alpha 90.00
_cell_angle_beta 90.00
_cell_angle_gamma 120.00
loop_
_atom_site_label
_atom_site_type_symbol
_atom_site_fract_x
_atom_site_fract_y
_atom_site_fract_z
Tb1 Tb 0.0565 0.8026 0.0813
Tb2 Tb 0.0649 0.8386 0.4176
Ho1 Ho 0.0000 0.0000 0.0000
Tm1 Tm 0.0521 0.8360 0.7603
```

---

7.
Here is a geometry-optimized Tb3Ho7Tm structure from the Alexandria database. Energies are from PBE-GGA.

Structure (CIF):
```
data_Tb3Ho7Tm
_symmetry_space_group_name_H-M 'C 1 2/m 1'
_symmetry_Int_Tables_number 12
_cell_length_a 12.468
_cell_length_b 11.092
_cell_length_c 5.757
_cell_angle_alpha 90.00
_cell_angle_beta 117.43
_cell_angle_gamma 90.00
loop_
_symmetry_equiv_pos_as_xyz
'x,y,z'
'-x,-y,-z'
'-x,y,-z'
'x,-y,z'
'x+1/2,y+1/2,z'
'-x+1/2,-y+1/2,-z'
'-x+1/2,y+1/2,-z'
'x+1/2,-y+1/2,z'
loop_
_atom_site_label
_atom_site_type_symbol
_atom_site_fract_x
_atom_site_fract_y
_atom_site_fract_z
Tb1 Tb 0.000 0.000 0.000
Tb2 Tb 0.000 0.209 0.500
Ho1 Ho 0.000 0.500 0.500
Ho2 Ho 0.200 0.201 0.200
Ho3 Ho 0.208 0.000 0.706
Tm1 Tm 0.000 0.500 0.000
```

---

8.
Here is a geometry-optimized Tb3Ho2Tm5 structure from the Alexandria database. Energies are from PBE-GGA.

Structure (CIF):
```
data_Tb3Ho2Tm5
_symmetry_space_group_name_H-M 'C 1 2/c 1'
_symmetry_Int_Tables_number 15
_cell_length_a 10.550
_cell_length_b 15.540
_cell_length_c 9.362
_cell_angle_alpha 90.00
_cell_angle_beta 124.26
_cell_angle_gamma 90.00
loop_
_symmetry_equiv_pos_as_xyz
'x,y,z'
'-x,-y,-z'
'-x,y,-z+1/2'
'x,-y,z+1/2'
'x+1/2,y+1/2,z'
'-x+1/2,-y+1/2,-z'
'-x+1/2,y+1/2,-z+1/2'
'x+1/2,-y+1/2,z+1/2'
loop_
_atom_site_label
_atom_site_type_symbol
_atom_site_fract_x
_atom_site_fract_y
_atom_site_fract_z
Tb1 Tb 0.000 0.232 0.250
Tb2 Tb 0.147 0.122 0.047
Ho1 Ho 0.150 0.380 0.549
Tm1 Tm 0.000 0.027 0.250
Tm2 Tm 0.000 0.270 0.750
Tm3 Tm 0.000 0.472 0.750
Tm4 Tm 0.247 0.387 0.243
```

---

9.
Here is a geometry-optimized Tb3Ho7Tm structure from the Alexandria database. Energies are from PBE-GGA.

Structure (CIF):
```
data_Tb3Ho7Tm
_symmetry_space_group_name_H-M 'P 1 2/m 1'
_symmetry_Int_Tables_number 10
_cell_length_a 6.890
_cell_length_b 5.474
_cell_length_c 9.843
_cell_angle_alpha 90.00
_cell_angle_beta 109.82
_cell_angle_gamma 90.00
loop_
_symmetry_equiv_pos_as_xyz
'x,y,z'
'-x,-y,-z'
'-x,y,-z'
'x,-y,z'
loop_
_atom_site_label
_atom_site_type_symbol
_atom_site_fract_x
_atom_site_fract_y
_atom_site_fract_z
Tb1 Tb 0.000 0.000 0.000
Tb2 Tb 0.279 0.500 0.497
Ho1 Ho 0.000 0.000 0.500
Ho2 Ho 0.148 0.500 0.790
Ho3 Ho 0.321 0.500 0.139
Ho4 Ho 0.421 0.000 0.330
Tm1 Tm 0.500 0.000 0.000
```

---

10.
Here is a geometry-optimized Tb3Ho4Tm3 structure from the Alexandria database. Energies are from PBE-GGA.

Structure (CIF):
```
data_Tb3Ho4Tm3
_symmetry_space_group_name_H-M 'A m m 2'
_symmetry_Int_Tables_number 38
_cell_length_a 3.658
_cell_length_b 13.046
_cell_length_c 13.066
_cell_angle_alpha 90.00
_cell_angle_beta 90.00
_cell_angle_gamma 90.00
loop_
_symmetry_equiv_pos_as_xyz
'x,y,z'
'-x,-y,z'
'-x,y,z'
'x,-y,z'
'x,y+1/2,z+1/2'
'-x,-y+1/2,z+1/2'
'-x,y+1/2,z+1/2'
'x,-y+1/2,z+1/2'
loop_
_atom_site_label
_atom_site_type_symbol
_atom_site_fract_x
_atom_site_fract_y
_atom_site_fract_z
Tb1 Tb 0.000 0.000 0.000
Tb2 Tb 0.000 0.172 0.672
Ho1 Ho 0.500 0.000 0.544
Ho2 Ho 0.500 0.000 0.799
Ho3 Ho 0.500 0.126 0.173
Tm1 Tm 0.000 0.000 0.344
Tm2 Tm 0.500 0.248 0.421
```

---

| no. | E_form (meV per atom) | spin magnetization (μB/atom) |
| --- | --- | --- |
| 1 | 54 | 0.000 |
| 2 | 291 | 0.069 |
| 3 | 717 | 0.000 |
| 4 | 740 | 0.000 |
| 5 | 22 | 0.000 |
| 6 | 251 | 0.000 |
| 7 | 281 | 0.035 |
| 8 | 203 | 0.000 |
| 9 | 151 | 0.000 |
| 10 | 99 | 0.000 |